Material: Tm2Be4Si3Ru
Method: DFT, PBE-GGA
State: optimized geometry

Values from the calculation:
energy relative to the elements, uncorrected: -459 meV/atom
uncorrected energy: -5.398 eV per atom

The structure in POSCAR format:
```
Tm2Be4Si3Ru
1.0
3.763 0.000 0.000
0.000 3.763 0.000
0.000 0.000 9.898
Tm Be Si Ru
2 4 3 1
Direct
0.000 0.500 0.247
0.500 0.000 0.753
0.000 0.000 0.000
0.000 0.500 0.637
0.500 0.000 0.363
0.500 0.500 0.000
0.000 0.500 0.866
0.500 0.000 0.134
0.500 0.500 0.500
0.000 0.000 0.500
```

Material: CsAlTe3
Method: DFT, PBE-GGA
State: optimized geometry

Values from the calculation:
energy relative to the elements, uncorrected: -534 meV/atom
uncorrected energy: -3.339 eV per atom
excess energy over the best structure of this formula in the dataset: 130 meV per atom

The structure in POSCAR format:
```
CsAlTe3
1.0
10.005 0.000 0.000
0.000 8.777 0.000
-0.064 0.000 9.432
Cs Al Te
4 4 12
Direct
0.098 0.134 0.288
0.098 0.366 0.788
0.902 0.634 0.212
0.902 0.866 0.712
0.393 0.669 0.977
0.393 0.831 0.477
0.607 0.169 0.523
0.607 0.331 0.023
0.182 0.651 0.496
0.182 0.849 0.996
0.346 0.104 0.592
0.346 0.396 0.092
0.420 0.604 0.689
0.420 0.896 0.189
0.580 0.104 0.811
0.580 0.396 0.311
0.654 0.604 0.908
0.654 0.896 0.408
0.818 0.151 0.004
0.818 0.349 0.504
```

Material: Nd3ThMg2
Method: DFT, PBE-GGA
State: optimized geometry

Values from the calculation:
uncorrected energy: -4.211 eV per atom
formation energy from the elements: -0.059 eV per atom

The structure in POSCAR format:
```
Nd3ThMg2
1.0
3.680 0.000 0.000
0.000 3.680 0.000
0.000 0.000 13.630
Nd Th Mg
3 1 2
Direct
0.000 0.000 0.000
0.000 0.000 0.323
0.000 0.000 0.677
0.500 0.500 0.500
0.500 0.500 0.159
0.500 0.500 0.841
```

Material: CoNiPb
Method: DFT, PBE-GGA
State: optimized geometry

Values from the calculation:
uncorrected energy: -5.078 eV per atom
excess energy over the best structure of this formula in the dataset: 5 meV per atom
formation energy from the elements: 0.454 eV per atom

The structure in POSCAR format:
```
CoNiPb
1.0
3.280 0.000 0.000
0.000 3.280 0.000
0.000 0.000 8.801
Co Ni Pb
2 2 2
Direct
0.000 0.000 0.000
0.500 0.500 0.500
0.000 0.000 0.616
0.500 0.500 0.116
0.000 0.000 0.307
0.500 0.500 0.807
```

Material: SrZnFeP
Method: DFT, PBE-GGA
State: optimized geometry

Values from the calculation:
uncorrected energy: -4.773 eV per atom
formation energy from the elements: -0.566 eV per atom

The structure in POSCAR format:
```
SrZnFeP
1.0
3.773 0.000 0.000
0.000 3.773 0.000
0.000 0.000 11.467
Sr Zn Fe P
2 2 2 2
Direct
0.250 0.250 0.240
0.750 0.750 0.760
0.250 0.750 0.500
0.750 0.250 0.500
0.250 0.750 0.000
0.750 0.250 0.000
0.250 0.250 0.900
0.750 0.750 0.100
```

Q: The lowest uncorrected energy belongs to which entry?
A: Tm2Be4Si3Ru